Here is crystalline DyCuTe3Pb at its relaxed geometry from the Open Quantum Materials Database. Energies are from PBE.

E above lowest polymorph = 40.5 meV per atom
mass density = 7938 kg/m³
total magnetic moment = 0.0 μB/f.u.

a b c (Å): 4.4306 12.3723 12.4572
angles (deg): 90.00 90.00 90.00
With the nearest neighbours (Å) after each atom.
Sites, in units of the cell vectors:
Cu (0.7500, 0.7666, 0.2035)  4 Te 2.61-2.71
Cu (0.7500, 0.2666, 0.2965)  4 Te 2.61-2.71
Cu (0.2500, 0.7334, 0.7035)  4 Te 2.61-2.71
Cu (0.2500, 0.2334, 0.7965)  4 Te 2.61-2.71
Dy (0.2500, 0.4691, 0.1894)  7 Te 3.12-3.41
Dy (0.2500, 0.9691, 0.3106)  7 Te 3.12-3.41
Dy (0.7500, 0.0309, 0.6894)  7 Te 3.12-3.41
Dy (0.7500, 0.5309, 0.8106)  7 Te 3.12-3.41
Pb (0.2500, 0.8004, 0.0216)  2 Cu 3.20, 7 Te 3.33-3.49
Pb (0.2500, 0.3004, 0.4784)  2 Cu 3.20, 7 Te 3.33-3.49
Pb (0.7500, 0.6996, 0.5216)  2 Cu 3.20, 7 Te 3.33-3.49
Pb (0.7500, 0.1996, 0.9784)  2 Cu 3.20, 7 Te 3.33-3.49
Te (0.7500, 0.5993, 0.0627)  1 Cu 2.71
Te (0.7500, 0.9659, 0.1346)  1 Cu 2.61
Te (0.2500, 0.2162, 0.1894)  2 Cu 2.66
Te (0.2500, 0.7162, 0.3106)  2 Cu 2.66
Te (0.7500, 0.4659, 0.3654)  1 Cu 2.61
Te (0.7500, 0.0993, 0.4373)  1 Cu 2.71
Te (0.2500, 0.9007, 0.5627)  1 Cu 2.71
Te (0.2500, 0.5341, 0.6346)  1 Cu 2.61
Te (0.7500, 0.2838, 0.6894)  2 Cu 2.66
Te (0.7500, 0.7837, 0.8106)  2 Cu 2.66
Te (0.2500, 0.0341, 0.8654)  1 Cu 2.61
Te (0.2500, 0.4007, 0.9373)  1 Cu 2.71



Here is crystalline ZrW at its relaxed geometry from the Open Quantum Materials Database. Energies are from PBE.

mass density = 11935 kg/m³
ΔE_f = 11.21 kcal/mol of atoms
total magnetic moment = 0.0 μB/f.u.

a b c (Å): 5.8253 5.8253 5.2109
angles (deg): 90.00 90.00 120.04
With the nearest neighbours (Å) after each atom.
Sites, in units of the cell vectors:
W (0.0000, 0.0000, 0.0000)  6 Zr 2.91, 6 W 3.09-3.10
W (0.8344, 0.1655, 0.5000)  6 W 2.89-3.10, 6 Zr 2.91-3.10
W (0.3312, 0.1655, 0.5000)  6 W 2.89-3.09, 6 Zr 2.91-3.10
W (0.8345, 0.6688, 0.5000)  6 W 2.89-3.09, 6 Zr 2.91-3.10
Zr (0.5030, 0.0062, 0.0000)  6 Zr 2.86-3.12, 6 W 2.91-3.10
Zr (0.9938, 0.4969, 0.0000)  6 Zr 2.86-3.12, 6 W 2.91-3.10
Zr (0.5030, 0.4970, 0.0000)  6 Zr 2.86-3.12, 6 W 2.91-3.10
Zr (0.3334, 0.6666, 0.5000)  6 W 2.91, 6 Zr 3.12



Here is crystalline CuReAsIr at its relaxed geometry from the Open Quantum Materials Database. Energies are from PBE.

E above lowest polymorph = 0.0 meV per atom
mass density = 14744 kg/m³
total magnetic moment = 0.0 μB/f.u.

a b c (Å): 4.3502 4.3502 4.3502
angles (deg): 60.00 60.00 60.00
With the nearest neighbours (Å) after each atom.
Sites, in units of the cell vectors:
As (0.0000, 0.0000, 0.0000)  4 Re 2.66, 4 Cu 2.66
Cu (0.7500, 0.7500, 0.7500)  4 As 2.66, 4 Ir 2.66
Ir (0.5000, 0.5000, 0.5000)  4 Re 2.66, 4 Cu 2.66
Re (0.2500, 0.2500, 0.2500)  4 Ir 2.66, 4 As 2.66



Here is crystalline AgSn at its relaxed geometry from the Open Quantum Materials Database. Energies are from PBE.

mass density = 8549 kg/m³
VASP energy = -3.32 eV per atom

a b c (Å): 3.2448 3.2447 4.8266
angles (deg): 90.00 90.00 120.00
With the nearest neighbours (Å) after each atom.
Sites, in units of the cell vectors:
Ag (0.6667, 0.3333, 0.7500)  6 Sn 3.06, 6 Ag 3.24
Sn (0.3333, 0.6667, 0.2500)  6 Ag 3.06, 6 Sn 3.24